Ti5Zn6 (GGA-PBE, relaxed); SG = No. 71; DOS(E_F) = 9.489 states/eV/f.u.; energy of formation = -0.09 eV per atom
1.0
-2.160 3.277 6.244
2.160 -3.277 6.244
2.160 3.277 -6.244
Ti Zn
5 6
Direct
0.000 0.000 0.000
0.151 0.651 0.500
0.292 0.292 0.000
0.708 0.708 0.000
0.849 0.349 0.500
0.157 0.858 0.299
0.303 0.500 0.803
0.441 0.142 0.299
0.559 0.858 0.701
0.697 0.500 0.197
0.843 0.142 0.701